Here is a geometry-optimized Cs4SBr2 structure from Alexandria. Energies are from PBE-GGA.

**Volume**: 380 Å³/f.u.
**E above lowest polymorph**: 0.000 eV/atom
**Formation energy from raw total energies**: -9.81 eV per formula unit

The structure in CIF format:
```
data_Cs4SBr2
_chemical_formula_sum 'Cs8 S2 Br4'
_cell_length_a 17.368
_cell_length_b 5.189
_cell_length_c 9.385
_cell_angle_alpha 90.00
_cell_angle_beta 116.06
_cell_angle_gamma 90.00
_symmetry_space_group_name_H-M 'C 1 2/m 1'
_symmetry_Int_Tables_number 12
loop_
_symmetry_equiv_pos_as_xyz
'x,y,z'
'-x,-y,-z'
'-x,y,-z'
'x,-y,z'
'x+1/2,y+1/2,z'
'-x+1/2,-y+1/2,-z'
'-x+1/2,y+1/2,-z'
'x+1/2,-y+1/2,z'
loop_
_atom_site_label
_atom_site_fract_x
_atom_site_fract_y
_atom_site_fract_z
_atom_site_occupancy
Cs1 0.113 0.000 0.393 1
Cs2 0.134 0.500 0.012 1
S1 0.000 0.000 0.000 1
Br1 0.198 0.500 0.685 1
```

Here is a geometry-optimized CsSbSBr2 structure from Alexandria. Energies are from PBE-GGA.

**Density of states at the Fermi level**: 1.29 states/eV per cell
**Volume**: 176 Å³/f.u.
**Formation energy from raw total energies**: -4.23 eV per formula unit

The structure in CIF format:
```
data_CsSbSBr2
_chemical_formula_sum 'Cs1 Sb1 S1 Br2'
_cell_length_a 5.866
_cell_length_b 5.866
_cell_length_c 5.121
_cell_angle_alpha 90.00
_cell_angle_beta 90.00
_cell_angle_gamma 90.00
_symmetry_space_group_name_H-M 'P 4/m m m'
_symmetry_Int_Tables_number 123
_symmetry_space_group_name_Hall '-P 4 2'
loop_
_atom_site_label
_atom_site_fract_x
_atom_site_fract_y
_atom_site_fract_z
_atom_site_occupancy
Cs1 0.000 0.000 0.000 1
Sb1 0.500 0.500 0.500 1
S1 0.500 0.500 0.000 1
Br1 0.000 0.500 0.500 1
```

Here is a geometry-optimized CsScSBr2 structure from Alexandria. Energies are from PBE-GGA.

**Volume**: 154 Å³/f.u.
**Formation energy from raw total energies**: -8.32 eV per formula unit

The structure in CIF format:
```
data_CsScSBr2
_chemical_formula_sum 'Cs1 Sc1 S1 Br2'
_cell_length_a 5.597
_cell_length_b 5.597
_cell_length_c 4.921
_cell_angle_alpha 90.00
_cell_angle_beta 90.00
_cell_angle_gamma 90.00
_symmetry_space_group_name_H-M 'P 4/m m m'
_symmetry_Int_Tables_number 123
_symmetry_space_group_name_Hall '-P 4 2'
loop_
_atom_site_label
_atom_site_fract_x
_atom_site_fract_y
_atom_site_fract_z
_atom_site_occupancy
Cs1 0.000 0.000 0.000 1
Sc1 0.500 0.500 0.500 1
S1 0.500 0.500 0.000 1
Br1 0.000 0.500 0.500 1
```

Here is a geometry-optimized CsSeSBr2 structure from Alexandria. Energies are from PBE-GGA.

**Density of states at the Fermi level**: 2.99 states/eV per cell
**Volume**: 159 Å³/f.u.
**E above lowest polymorph**: 0.000 eV/atom
**Formation energy from raw total energies**: -2.00 eV per formula unit

The structure in CIF format:
```
data_CsSeSBr2
_chemical_formula_sum 'Cs1 Se1 S1 Br2'
_cell_length_a 5.766
_cell_length_b 5.766
_cell_length_c 4.795
_cell_angle_alpha 90.00
_cell_angle_beta 90.00
_cell_angle_gamma 90.00
_symmetry_space_group_name_H-M 'P 4/m m m'
_symmetry_Int_Tables_number 123
_symmetry_space_group_name_Hall '-P 4 2'
loop_
_atom_site_label
_atom_site_fract_x
_atom_site_fract_y
_atom_site_fract_z
_atom_site_occupancy
Cs1 0.000 0.000 0.000 1
Se1 0.500 0.500 0.000 1
S1 0.500 0.500 0.500 1
Br1 0.000 0.500 0.500 1
```